Record 1
First-principles (PBE) data for an optimized crystal structure of SrLi2YP, as listed in Alexandria.

Calculated values
DFT total energy ... -19.02 eV/f.u.
Theoretical density ... 2.6 Mg/m³
Formation energy ... -1.64 eV/f.u.
Size of the total moment ... 0.000 Bohr magnetons per cell

```
SrLi2YP
1.0
5.0815 0.0000 0.0000
0.0000 5.3966 0.0000
0.0000 0.0000 5.0815
Y Sr Li P
1 1 2 1
Cartesian
0.0000 2.6983 0.0000
2.5407 2.6983 2.5407
0.0000 0.0000 2.5407
2.5407 0.0000 0.0000
0.0000 0.0000 0.0000
```

=====

Record 2
First-principles (PBE) data for an optimized crystal structure of Sr2LiZnP, as listed in Alexandria.

Calculated values
DFT total energy ... -14.03 eV/f.u.
Theoretical density ... 2.8 Mg/m³
Formation energy ... -2.07 eV/f.u.
Size of the total moment ... 0.300 Bohr magnetons per cell

```
Sr2LiZnP
1.0
-5.2419 -1.6830 -2.1146
2.2789 -5.2332 -1.4840
-1.1561 -1.6998 4.2188
Sr Zn Li P
2 1 1 1
Cartesian
1.1395 -2.6166 -0.7420
-2.6210 -0.8415 -1.0573
-2.0596 -4.3080 0.3101
-0.5780 -0.8499 2.1094
0.0000 0.0000 0.0000
```

=====

Record 3
First-principles (PBE) data for an optimized crystal structure of SrLi2ZrP, as listed in Alexandria.

Calculated values
DFT total energy ... -17.91 eV/f.u.
Theoretical density ... 2.7 Mg/m³
Formation energy ... 1.55 eV/f.u.
Size of the total moment ... 2.412 Bohr magnetons per cell

```
SrLi2ZrP
1.0
4.8488 0.0000 0.0000
0.0000 5.7844 0.0000
0.0000 0.0000 4.8488
Sr Li Zr P
1 2 1 1
Cartesian
0.0000 2.8922 0.0000
0.0000 0.0000 2.4244
2.4244 0.0000 0.0000
2.4244 2.8922 2.4244
0.0000 0.0000 0.0000
```